No. 1
MnGaBRuSe: relaxed, GGA-PBE.

Cell: 3.2722 3.2722 8.1851 Å, 101.43 101.43 59.77°
With the nearest neighbours (Å) after each atom.
Sites, in units of the cell vectors:
Mn1 0.0000 0.0000 0.0000  3 B 2.21, 3 Se 2.46
Ga1 0.4933 0.4933 0.4844  1 Se 2.53, 3 Ru 2.57, 1 B 2.71
B1 0.3808 0.3808 0.1444  3 Ru 2.12, 3 Mn 2.21
Ru1 0.7537 0.7537 0.2655  3 B 2.12
Se1 0.6015 0.6015 0.8016  3 Mn 2.46, 1 Ga 2.53

total magnetic moment = 2.93 μB/cell
density = 7.11 g/cm³
formation energy from raw total energies = -218 meV per atom
energy above the most stable polymorph in this dataset = 0.0 meV/atom
VASP energy = -32.72 eV/cell

No. 2
NaHf2Ta3N6: relaxed, GGA-PBE.

Cell: 7.0922 7.0922 6.3271 Å, 104.20 104.20 25.82°
With the nearest neighbours (Å) after each atom.
Sites, in units of the cell vectors:
Na1 0.0000 0.0000 0.0000  6 N 2.28-2.33
Hf1 0.3409 0.3409 0.6719  6 N 2.13-2.30
Hf2 0.6591 0.6591 0.3281  6 N 2.13-2.30
Ta1 0.0000 0.0000 0.5000  6 N 2.20-2.26
Ta2 0.3425 0.3425 0.1829  6 N 2.11-2.26
Ta3 0.6575 0.6575 0.8171  6 N 2.11-2.26
N1 0.1690 0.1690 0.5823  3 Ta 2.20-2.26, 3 Hf 2.24-2.30
N2 0.1738 0.1738 0.0786  3 Ta 2.26, 2 Hf 2.28, 1 Na 2.33
N3 0.4999 0.4999 0.2593  3 Ta 2.11-2.20, 1 Hf 2.13, 2 Na 2.28
N4 0.5001 0.5001 0.7407  3 Ta 2.11-2.20, 1 Hf 2.13, 2 Na 2.28
N5 0.8262 0.8262 0.9214  3 Ta 2.26, 2 Hf 2.28, 1 Na 2.33
N6 0.8310 0.8310 0.4177  3 Ta 2.20-2.26, 3 Hf 2.24-2.30

total magnetic moment = 0.00 μB/cell
density = 12.47 g/cm³
formation energy from raw total energies = -1209 meV per atom
VASP energy = -121.24 eV/cell

No. 3
PmErSiRh: relaxed, GGA-PBE.

Cell: 4.9660 4.9660 4.9660 Å, 60.00 60.00 60.00°
With the nearest neighbours (Å) after each atom.
Sites, in units of the cell vectors:
Pm1 0.0000 0.0000 0.0000  4 Rh 3.04, 4 Si 3.04
Er1 0.5000 0.5000 0.5000  4 Rh 3.04, 4 Si 3.04
Si1 0.7500 0.7500 0.7500  4 Er 3.04, 4 Pm 3.04
Rh1 0.2500 0.2500 0.2500  4 Er 3.04, 4 Pm 3.04

total magnetic moment = 0.00 μB/cell
density = 8.50 g/cm³
formation energy from raw total energies = -613 meV per atom
energy above the most stable polymorph in this dataset = 202.0 meV/atom
VASP energy = -24.54 eV/cell